{
  "formula": "Sr2Zn2Si",
  "functional": "PBE",
  "state": "optimized geometry",
  "cell": [[5.878, -2.169, 0.000], [5.878, 2.169, 0.000], [-5.024, 0.000, 10.619]],
  "species": ["Sr", "Sr", "Sr", "Sr", "Zn", "Zn", "Zn", "Zn", "Si", "Si"],
  "frac_coords": [[0.100, 0.100, 0.393], [0.300, 0.300, 0.865], [0.700, 0.700, 0.135], [0.900, 0.900, 0.607], [0.036, 0.036, 0.910], [0.390, 0.390, 0.380], [0.610, 0.610, 0.620], [0.964, 0.964, 0.090], [0.430, 0.430, 0.181], [0.570, 0.570, 0.819]],
  "e_form_raw_ev_per_atom": -0.32,
  "m_tot_mub_per_fu": 0.0,
  "space_group": "C2/m (12)",
  "e_above_lowest_polymorph_ev_per_atom": 0.000,
  "dft_energy_ev_per_atom": -2.58
}

=====

{
  "formula": "NbHRh3",
  "functional": "PBE",
  "state": "optimized geometry",
  "cell": [[6.478, -1.922, 0.000], [6.478, 1.922, 0.000], [-0.635, 0.000, 5.549]],
  "species": ["Nb", "Nb", "H", "H", "Rh", "Rh", "Rh", "Rh", "Rh", "Rh"],
  "frac_coords": [[0.099, 0.099, 0.335], [0.901, 0.901, 0.665], [0.414, 0.414, 0.154], [0.586, 0.586, 0.846], [0.086, 0.086, 0.831], [0.312, 0.312, 0.883], [0.313, 0.313, 0.393], [0.687, 0.687, 0.607], [0.688, 0.688, 0.117], [0.914, 0.914, 0.169]],
  "m_tot_mub_per_fu": 0.0,
  "space_group": "C2/m (12)",
  "e_above_lowest_polymorph_ev_per_atom": 0.272,
  "dft_energy_ev_per_atom": -7.24
}

=====

{
  "formula": "DyY2Zn",
  "functional": "PBE",
  "state": "optimized geometry",
  "cell": [[4.768, 0.000, 0.000], [0.000, 4.768, 0.000], [0.000, 0.000, 4.742]],
  "species": ["Dy", "Y", "Y", "Zn"],
  "frac_coords": [[0.000, 0.000, 0.000], [0.000, 0.500, 0.500], [0.500, 0.000, 0.500], [0.500, 0.500, 0.000]],
  "e_form_kj_per_mol_atoms": -3,
  "m_tot_mub_per_fu": 0.5,
  "space_group": "P4/mmm (123)",
  "e_above_lowest_polymorph_ev_per_atom": 0.137,
  "dft_energy_ev_per_atom": -4.73
}

=====

{
  "formula": "LiCa2InCu",
  "functional": "PBE",
  "state": "optimized geometry",
  "cell": [[5.571, 0.000, 0.000], [0.000, 5.571, 0.000], [0.000, 0.000, 4.923]],
  "species": ["Li", "Ca", "Ca", "In", "Cu"],
  "frac_coords": [[0.000, 0.000, 0.000], [0.000, 0.500, 0.500], [0.500, 0.000, 0.500], [0.500, 0.500, 0.000], [0.500, 0.500, 0.500]],
  "e_form_kj_per_mol_atoms": -5,
  "m_tot_mub_per_fu": 0.0,
  "space_group": "P4/mmm (123)",
  "dft_energy_ev_per_atom": -2.60
}

=====

{
  "formula": "KNa2CdAg",
  "functional": "PBE",
  "state": "optimized geometry",
  "cell": [[5.716, 0.000, 0.000], [0.000, 5.716, 0.000], [0.000, 0.000, 5.492]],
  "species": ["K", "Na", "Na", "Cd", "Ag"],
  "frac_coords": [[0.000, 0.000, 0.000], [0.000, 0.500, 0.500], [0.500, 0.000, 0.500], [0.500, 0.500, 0.000], [0.500, 0.500, 0.500]],
  "e_form_kj_per_mol_atoms": 1,
  "m_tot_mub_per_fu": 0.0,
  "space_group": "P4/mmm (123)",
  "e_above_lowest_polymorph_ev_per_atom": 0.000,
  "dft_energy_ev_per_atom": -1.49
}

=====

{
  "formula": "Ag2Cl",
  "functional": "PBE",
  "state": "optimized geometry",
  "cell": [[3.361, 0.000, 0.000], [-1.680, 2.910, 0.000], [0.000, 0.000, 12.262]],
  "species": ["Ag", "Ag", "Ag", "Ag", "Cl", "Cl"],
  "frac_coords": [[0.333, 0.667, 0.085], [0.333, 0.667, 0.415], [0.667, 0.333, 0.585], [0.667, 0.333, 0.915], [0.000, 0.000, 0.250], [0.000, 0.000, 0.750]],
  "e_form_raw_ev_per_atom": -0.11,
  "m_tot_mub_per_fu": 0.0,
  "space_group": "P6_3/mmc (194)",
  "e_above_lowest_polymorph_ev_per_atom": 0.107,
  "dft_energy_ev_per_atom": -2.63
}

=====

{
  "formula": "KTlS",
  "functional": "PBE",
  "state": "optimized geometry",
  "cell": [[0.000, 5.746, 7.744], [5.102, 0.000, 7.744], [5.102, 5.746, 0.000]],
  "species": ["K", "K", "K", "K", "Tl", "Tl", "Tl", "Tl", "S", "S", "S", "S"],
  "frac_coords": [[0.006, 0.006, 0.744], [0.256, 0.256, 0.994], [0.744, 0.744, 0.006], [0.994, 0.994, 0.256], [0.000, 0.500, 0.500], [0.500, 0.000, 0.500], [0.500, 0.500, 0.000], [0.500, 0.500, 0.500], [0.090, 0.660, 0.090], [0.340, 0.910, 0.340], [0.660, 0.090, 0.660], [0.910, 0.340, 0.910]],
  "e_form_raw_ev_per_atom": -0.53,
  "m_tot_mub_per_fu": 0.0,
  "space_group": "Fddd (70)",
  "e_above_lowest_polymorph_ev_per_atom": 0.206,
  "dft_energy_ev_per_atom": -3.06
}

=====

{
  "formula": "TmHg6Pb",
  "functional": "PBE",
  "state": "optimized geometry",
  "cell": [[4.659, 0.000, 0.000], [0.000, 4.659, 0.000], [0.000, 0.000, 9.319]],
  "species": ["Tm", "Hg", "Hg", "Hg", "Hg", "Hg", "Hg", "Pb"],
  "frac_coords": [[0.000, 0.000, 0.000], [0.000, 0.500, 0.238], [0.000, 0.500, 0.762], [0.500, 0.000, 0.238], [0.500, 0.000, 0.762], [0.500, 0.500, 0.000], [0.500, 0.500, 0.500], [0.000, 0.000, 0.500]],
  "e_form_kj_per_mol_atoms": -12,
  "m_tot_mub_per_fu": 0.0,
  "space_group": "P4/mmm (123)",
  "e_above_lowest_polymorph_ev_per_atom": 0.000,
  "dft_energy_ev_per_atom": -1.38
}

=====

{
  "formula": "Pu3Ge2Pt4",
  "functional": "PBE",
  "state": "optimized geometry",
  "cell": [[5.274, -2.198, 0.000], [5.274, 2.198, 0.000], [-3.584, 0.000, 7.908]],
  "species": ["Pu", "Pu", "Pu", "Ge", "Ge", "Pt", "Pt", "Pt", "Pt"],
  "frac_coords": [[0.000, 0.000, 0.000], [0.365, 0.365, 0.312], [0.635, 0.635, 0.688], [0.341, 0.341, 0.676], [0.659, 0.659, 0.324], [0.091, 0.091, 0.413], [0.283, 0.283, 0.929], [0.717, 0.717, 0.071], [0.909, 0.909, 0.587]],
  "e_form_kj_per_mol_atoms": -76,
  "m_tot_mub_per_fu": 15.4,
  "space_group": "C2/m (12)",
  "dft_energy_ev_per_atom": -9.27
}

=====

{
  "formula": "Hf2Ti3Si4",
  "functional": "PBE",
  "state": "optimized geometry",
  "cell": [[6.803, 0.000, 0.000], [0.000, 6.793, 0.000], [-2.172, 0.000, 6.246]],
  "species": ["Hf", "Hf", "Hf", "Hf", "Ti", "Ti", "Ti", "Ti", "Ti", "Ti", "Si", "Si", "Si", "Si", "Si", "Si", "Si", "Si"],
  "frac_coords": [[0.191, 0.172, 0.064], [0.191, 0.328, 0.564], [0.809, 0.672, 0.436], [0.809, 0.828, 0.936], [0.251, 0.678, 0.246], [0.251, 0.822, 0.746], [0.500, 0.000, 0.500], [0.500, 0.500, 0.000], [0.749, 0.178, 0.254], [0.749, 0.322, 0.754], [0.079, 0.535, 0.858], [0.079, 0.965, 0.358], [0.491, 0.126, 0.869], [0.491, 0.374, 0.369], [0.509, 0.626, 0.631], [0.509, 0.874, 0.131], [0.921, 0.035, 0.642], [0.921, 0.465, 0.142]],
  "e_form_raw_ev_per_atom": -0.88,
  "m_tot_mub_per_fu": 0.0,
  "space_group": "P2_1/c (14)",
  "dft_energy_ev_per_atom": -8.13
}

=====

{
  "formula": "PmLu2Os",
  "functional": "PBE",
  "state": "optimized geometry",
  "cell": [[3.373, 0.000, 0.000], [0.000, 3.373, 0.000], [0.000, 0.000, 9.018]],
  "species": ["Pm", "Lu", "Lu", "Os"],
  "frac_coords": [[0.000, 0.000, 0.000], [0.500, 0.500, 0.322], [0.500, 0.500, 0.678], [0.000, 0.000, 0.500]],
  "e_form_kj_per_mol_atoms": -21,
  "m_tot_mub_per_fu": 0.0,
  "space_group": "P4/mmm (123)",
  "dft_energy_ev_per_atom": -6.48
}

=====

{
  "formula": "TeAsIrAu",
  "functional": "PBE",
  "state": "optimized geometry",
  "cell": [[2.007, 1.159, 6.636], [-2.007, 1.159, 6.636], [0.000, -2.318, 6.636]],
  "species": ["Te", "As", "Ir", "Au"],
  "frac_coords": [[0.000, 0.000, 0.000], [0.544, 0.544, 0.544], [0.268, 0.268, 0.268], [0.131, 0.131, 0.131]],
  "e_form_raw_ev_per_atom": -0.07,
  "m_tot_mub_per_fu": 0.0,
  "space_group": "R3m (160)",
  "e_above_lowest_polymorph_ev_per_atom": 0.000,
  "dft_energy_ev_per_atom": -5.06
}

=====

| no. | N(E_F) (states/eV per atom) |
| --- | --- |
| 1 | 0.529 |
| 2 | 0.528 |
| 3 | 1.348 |
| 4 | 0.648 |
| 5 | 0.455 |
| 6 | 0.113 |
| 7 | 0.382 |
| 8 | 0.639 |
| 9 | 3.787 |
| 10 | 0.632 |
| 11 | 0.662 |
| 12 | 0.443 |